This record from Alexandria describes a relaxed TlCrP2O8 crystal. The functional is PBE with a Hubbard U.

The value obtained for the calculated volume is 165.6 Å³/cell. The calculation puts the total DFT energy (no corrections) at -6.7803 eV/atom.

abc: 4.832 4.832 8.653
angles: 73.79 73.79 60.00
Sites, in units of the cell vectors:
P 0.267 0.267 0.199
O 0.995 0.391 0.861
O 0.204 0.204 0.388
O 0.796 0.796 0.612
O 0.609 0.248 0.139
P 0.733 0.733 0.801
O 0.752 0.995 0.861
O 0.391 0.752 0.861
Cr 0.000 0.000 0.000
Tl 0.500 0.500 0.500
O 0.005 0.609 0.139
O 0.248 0.005 0.139